No. 1
Crystalline Li2YInO at its relaxed geometry. Source: the Alexandria database, functional GGA-PBE. Values from VASP.

Properties
space-group type	P4/mmm (123)
formation energy (no corrections)	-115	kJ/mol of atoms
magnetization	0.0	μB/f.u.

Geometry as Quantum ESPRESSO input:
```
&SYSTEM
  ibrav = 0, nat = 5, ntyp = 4
/
ATOMIC_SPECIES
Li 6.94 Li.upf
Y 88.91 Y.upf
In 114.82 In.upf
O 16.00 O.upf
CELL_PARAMETERS angstrom
4.578 0.000 0.000
0.000 4.578 0.000
0.000 0.000 4.414
ATOMIC_POSITIONS angstrom
Li 0.000 2.289 0.000
Li 2.289 0.000 0.000
Y 0.000 0.000 2.207
In 2.289 2.289 2.207
O 0.000 0.000 0.000
```

No. 2
Crystalline Li2ZnInO4 at its relaxed geometry. Source: the Alexandria database, functional GGA-PBE. Values from VASP.

Properties
space-group type	I-42m (121)
formation energy (no corrections)	-138	kJ/mol of atoms
magnetization	0.9	μB/f.u.

Geometry as Quantum ESPRESSO input:
```
&SYSTEM
  ibrav = 0, nat = 8, ntyp = 4
/
ATOMIC_SPECIES
Li 6.94 Li.upf
Zn 65.41 Zn.upf
In 114.82 In.upf
O 16.00 O.upf
CELL_PARAMETERS angstrom
-2.402 2.402 4.262
2.402 -2.402 4.262
2.402 2.402 -4.262
ATOMIC_POSITIONS angstrom
Li 2.402 0.000 2.131
Li 0.000 2.402 2.131
Zn 0.000 0.000 0.000
In 0.000 0.000 4.262
O 1.253 -1.253 3.168
O 1.148 1.148 1.093
O -1.253 1.253 3.168
O 1.253 1.253 5.355
```

No. 3
Crystalline LiZrInO4 at its relaxed geometry. Source: the Alexandria database, functional GGA-PBE. Values from VASP.

Properties
space-group type	Imma (74)
formation energy (no corrections)	-226	kJ/mol of atoms
magnetization	0.0	μB/f.u.

Geometry as Quantum ESPRESSO input:
```
&SYSTEM
  ibrav = 0, nat = 14, ntyp = 4
/
ATOMIC_SPECIES
Li 6.94 Li.upf
Zr 91.22 Zr.upf
In 114.82 In.upf
O 16.00 O.upf
CELL_PARAMETERS angstrom
-3.198 3.228 4.596
3.198 -3.228 4.596
3.198 3.228 -4.596
ATOMIC_POSITIONS angstrom
Li 0.000 1.614 1.204
Li 3.198 1.614 3.391
Zr 3.198 0.000 0.000
Zr 0.000 0.000 4.596
In 1.599 1.614 -2.298
In 1.599 -1.614 2.298
O 3.198 -0.124 2.144
O 1.789 1.614 -0.028
O 4.606 1.614 -0.028
O 3.198 3.104 -2.144
O 0.000 0.124 6.740
O -1.408 1.614 4.624
O 1.408 1.614 4.624
O 0.000 3.351 2.451
```